Computed, not measured: crystalline ZrGeAsBr2 at its relaxed geometry at the PBE level of DFT.

Unit cell a=5.067 b=5.067 c=5.213 alpha=90.00 beta=90.00 gamma=90.00
Sites, in units of the cell vectors:
Zr (0.500, 0.500, 0.500)
As (0.000, 0.000, 0.500)
Br (0.000, 0.500, 0.000)
Br (0.500, 0.000, 0.000)
Ge (0.000, 0.000, 0.000)

As for the crystal system: tetragonal. As for the calculated total energy: -19.1 eV for the cell shown. As for the energy relative to the elements, uncorrected: 2.02 eV/f.u. As for the space group: P4/mmm (123). For the energy above the lowest structure with this stoichiometry, the calculation gives 485.6 meV/atom.